1.
A relaxed structure of Na5Ti3O8. Source: Alexandria, functional GGA-PBE.

abc: 6.4803 6.4803 6.4803
angles: 56.80 56.80 56.80
Last column: nearest neighbours and their distance in Å.
Fractional coordinates of all 16 atoms:
Na: 0.0000 0.0000 0.0000  6 O 2.29
Na: 0.0000 0.5000 0.5000  6 O 2.38-2.48
Na: 0.5000 0.0000 0.5000  6 O 2.38-2.48
Na: 0.5000 0.5000 0.0000  6 O 2.38-2.48
Na: 0.5000 0.5000 0.5000  6 O 2.23
Ti: 0.0000 0.0000 0.5000  6 O 2.02-2.10
Ti: 0.0000 0.5000 0.0000  6 O 2.02-2.10
Ti: 0.5000 0.0000 0.0000  6 O 2.02-2.10
O: 0.2017 0.7490 0.7490  2 Ti 2.02, 1 Na 2.23
O: 0.2357 0.2357 0.2357  3 Ti 2.10
O: 0.2510 0.2510 0.7983  2 Ti 2.02, 1 Na 2.23
O: 0.2510 0.7983 0.2510  2 Ti 2.02, 1 Na 2.23
O: 0.7490 0.2017 0.7490  2 Ti 2.02, 1 Na 2.23
O: 0.7490 0.7490 0.2017  2 Ti 2.02, 1 Na 2.23
O: 0.7643 0.7643 0.7643  3 Ti 2.10
O: 0.7983 0.2510 0.2510  2 Ti 2.02, 1 Na 2.23

Calculated values
* total moment: 0.958 μB/f.u.
* formation energy without anion corrections: -2375 meV/atom
* E_tot: -6.75 eV/atom
* space group: R-3m

---

2.
A relaxed structure of Na4Ti7O16. Source: Alexandria, functional GGA-PBE.

abc: 5.5268 6.0323 9.5640
angles: 90.00 91.31 90.00
Last column: nearest neighbours and their distance in Å.
Fractional coordinates of all 27 atoms:
Na: 0.0000 0.0000 0.0000  3 O 2.11-2.21
Na: 0.0324 0.0000 0.6951  6 O 2.20-2.42
Na: 0.5240 0.2436 0.5897  4 O 2.15-2.40
Na: 0.5240 0.7564 0.5897  4 O 2.15-2.40
Ti: 0.0169 0.5000 0.6938  5 O 1.91-2.00
Ti: 0.0932 0.2524 0.4014  5 O 1.87-2.07
Ti: 0.0932 0.7476 0.4014  5 O 1.87-2.07
Ti: 0.5109 0.2460 0.9048  5 O 1.86-2.06
Ti: 0.5109 0.7540 0.9048  5 O 1.86-2.06
Ti: 0.5821 0.0000 0.2027  4 O 1.88-2.10
Ti: 0.6207 0.5000 0.1756  6 O 1.92-2.09
O: 0.2504 0.2822 0.7795  2 Ti 1.86-2.00
O: 0.2504 0.7178 0.7795  2 Ti 1.86-2.00
O: 0.2598 0.0000 0.4816  2 Ti 1.93
O: 0.2696 0.5000 0.4910  2 Ti 1.97
O: 0.3809 0.0000 0.0138  3 Ti 1.96-2.10, 1 Na 2.11
O: 0.3944 0.5000 0.0120  3 Ti 1.96-1.98
O: 0.4203 0.2506 0.2709  2 Ti 1.88-2.09
O: 0.4203 0.7494 0.2709  2 Ti 1.88-2.09
O: 0.6737 0.0000 0.8117  2 Ti 1.96
O: 0.7320 0.5000 0.8028  1 Ti 1.91
O: 0.7411 0.2475 0.0777  3 Ti 1.92-2.12
O: 0.7411 0.7525 0.0777  3 Ti 1.92-2.12
O: 0.8929 0.0000 0.3095  3 Ti 1.98-2.07
O: 0.9070 0.2772 0.5620  2 Ti 1.87-1.93
O: 0.9070 0.7228 0.5620  2 Ti 1.87-1.93
O: 0.9168 0.5000 0.3008  3 Ti 2.01-2.02

Calculated values
* total moment: 0.000 μB/f.u.
* formation energy without anion corrections: -2699 meV/atom
* energy relative to the lowest polymorph listed for this composition: 34 meV per atom
* E_tot: -7.88 eV/atom
* space group: Pm

---

3.
A relaxed structure of Na2Ti4O9. Source: Alexandria, functional GGA-PBE.

abc: 8.8898 10.7137 12.4944
angles: 101.55 110.66 90.02
Last column: nearest neighbours and their distance in Å.
Fractional coordinates of all 90 atoms:
Na: 0.0000 0.0000 0.0000  6 O 2.34-2.58
Na: 0.0498 0.2973 0.1320  6 O 2.44-2.55
Na: 0.1107 0.0963 0.5809  6 O 2.43-2.56
Na: 0.1671 0.3987 0.7159  5 O 2.33-2.51
Na: 0.2425 0.7989 0.1458  6 O 2.43-2.70
Na: 0.3836 0.2848 0.1322  6 O 2.44-2.56
Na: 0.4441 0.0929 0.5867  6 O 2.43-2.55
Na: 0.5569 0.3978 0.7083  3 O 2.27-2.40
Na: 0.6105 0.9859 0.0084  3 O 2.26-2.45
Na: 0.7205 0.2990 0.1357  6 O 2.43-2.54
Na: 0.7745 0.1044 0.5805  6 O 2.42-2.54
Na: 0.9212 0.5966 0.5714  6 O 2.42-2.71
Ti: 0.0174 0.8932 0.7262  5 O 1.79-1.99
Ti: 0.1468 0.5021 0.9833  5 O 1.82-2.01
Ti: 0.1944 0.3234 0.4176  4 O 1.87-2.01
Ti: 0.2025 0.8138 0.4244  6 O 1.92-2.04
Ti: 0.2411 0.7090 0.8681  5 O 1.83-2.02
Ti: 0.2737 0.1876 0.8621  3 O 1.83-1.98
Ti: 0.2985 0.5714 0.2948  6 O 1.95-2.06
Ti: 0.3075 0.0774 0.3076  6 O 1.90-2.06
Ti: 0.3518 0.8775 0.7294  5 O 1.83-2.02
Ti: 0.4800 0.5053 0.9802  5 O 1.85-2.03
Ti: 0.5304 0.3251 0.4158  4 O 1.86-1.99
Ti: 0.5388 0.8150 0.4347  5 O 1.86-2.05
Ti: 0.5684 0.6878 0.8512  5 O 1.86-2.01
Ti: 0.6082 0.1949 0.8643  2 O 1.80-1.86
Ti: 0.6252 0.5788 0.2854  6 O 1.90-2.10
Ti: 0.6328 0.0686 0.2998  4 O 1.86-2.00
Ti: 0.6915 0.8862 0.7419  6 O 1.89-2.07
Ti: 0.8156 0.5137 0.9878  5 O 1.82-2.02
Ti: 0.8577 0.3152 0.4108  6 O 1.89-2.08
Ti: 0.8612 0.8214 0.4135  6 O 1.93-2.02
Ti: 0.9068 0.6902 0.8526  6 O 1.88-2.09
Ti: 0.9334 0.2064 0.8473  3 O 1.79-1.99
Ti: 0.9629 0.5774 0.2936  6 O 1.93-2.02
Ti: 0.9699 0.0699 0.2977  4 O 1.87-2.01
O: 0.0079 0.9176 0.3726  3 Ti 1.93-2.04
O: 0.0249 0.2124 0.7412  1 Ti 1.79
O: 0.0396 0.7061 0.4479  3 Ti 1.99-2.02
O: 0.0619 0.5778 0.8088  2 Ti 1.95-1.98
O: 0.0730 0.3745 0.5134  2 Ti 1.88-1.91
O: 0.0917 0.0189 0.2028  2 Ti 1.88-1.92
O: 0.1099 0.8203 0.9165  1 Ti 1.83
O: 0.1241 0.6861 0.2671  3 Ti 1.96-2.04
O: 0.1293 0.1843 0.9619  2 Ti 1.87-2.09
O: 0.1563 0.4746 0.3419  3 Ti 1.95-2.02
O: 0.1694 0.7604 0.7115  3 Ti 1.97-2.02
O: 0.1996 0.1435 0.4275  3 Ti 1.96-2.14
O: 0.2185 0.0027 0.7919  3 Ti 1.96-2.01
O: 0.2200 0.4777 0.1327  2 Ti 1.82-1.95
O: 0.2777 0.9110 0.5826  2 Ti 1.83-1.92
O: 0.2814 0.3891 0.9201  3 Ti 1.95-2.13
O: 0.2973 0.2512 0.2898  3 Ti 1.92-2.14
O: 0.3215 0.6333 0.0063  3 Ti 1.96-2.03
O: 0.3401 0.9142 0.3743  3 Ti 1.96-2.06
O: 0.3583 0.2135 0.7513  1 Ti 1.86
O: 0.3788 0.7041 0.4509  3 Ti 1.93-2.06
O: 0.3981 0.5663 0.8136  1 Ti 1.86
O: 0.4098 0.3694 0.5139  2 Ti 1.87-1.89
O: 0.4195 0.0171 0.2056  2 Ti 1.86-1.90
O: 0.4367 0.8158 0.8973  2 Ti 1.93-1.96
O: 0.4503 0.6854 0.2655  2 Ti 1.90-1.99
O: 0.4729 0.1794 0.9711  1 Ti 1.83
O: 0.4916 0.4752 0.3405  3 Ti 1.97-2.00
O: 0.5086 0.7570 0.7085  3 Ti 1.95-2.01
O: 0.5331 0.1442 0.4278  3 Ti 1.97-2.12
O: 0.5501 0.0006 0.7967  3 Ti 1.95-2.07
O: 0.5525 0.4782 0.1308  2 Ti 1.85-1.90
O: 0.6137 0.9124 0.5868  2 Ti 1.86-1.89
O: 0.6183 0.3894 0.9224  3 Ti 1.96-2.06
O: 0.6304 0.2489 0.2889  3 Ti 1.96-2.11
O: 0.6558 0.6333 0.0041  3 Ti 1.95-2.00
O: 0.6713 0.9176 0.3750  3 Ti 1.94-2.03
O: 0.6923 0.2100 0.7501  2 Ti 1.86-2.06
O: 0.7130 0.7061 0.4488  3 Ti 1.92-2.10
O: 0.7296 0.5724 0.8150  2 Ti 1.88-2.01
O: 0.7439 0.3763 0.5109  2 Ti 1.86-1.89
O: 0.7540 0.0232 0.2025  2 Ti 1.87-1.89
O: 0.7714 0.8214 0.8961  3 Ti 1.97-2.14
O: 0.7848 0.6883 0.2642  3 Ti 1.95-2.00
O: 0.8004 0.1765 0.9723  1 Ti 1.80
O: 0.8250 0.4783 0.3428  3 Ti 1.95-2.07
O: 0.8508 0.7599 0.7106  3 Ti 1.97-2.04
O: 0.8662 0.1416 0.4263  1 Ti 1.91
O: 0.8852 0.0048 0.7942  3 Ti 1.96-2.12
O: 0.8875 0.4807 0.1340  2 Ti 1.82-1.93
O: 0.9430 0.9165 0.5791  2 Ti 1.79-1.98
O: 0.9469 0.3911 0.9216  3 Ti 1.96-2.00
O: 0.9645 0.2494 0.2890  3 Ti 1.95-2.14
O: 0.9941 0.6340 0.0057  3 Ti 1.97-2.01

Calculated values
* total moment: 0.000 μB/f.u.
* formation energy without anion corrections: -2797 meV/atom
* E_tot: -8.05 eV/atom
* space group: P1

---

4.
A relaxed structure of Na4Ti5O12. Source: Alexandria, functional GGA-PBE.

abc: 6.2362 6.2362 14.0443
angles: 100.68 100.68 91.43
Last column: nearest neighbours and their distance in Å.
Fractional coordinates of all 42 atoms:
Na: 0.0000 0.0000 0.0000  6 O 2.29-2.56
Na: 0.0000 0.0000 0.5000  6 O 2.29-2.56
Na: 0.1023 0.8977 0.7500  4 O 2.19
Na: 0.1935 0.4558 0.9206  4 O 2.21-2.31
Na: 0.4558 0.1935 0.4206  4 O 2.21-2.31
Na: 0.5442 0.8065 0.5794  4 O 2.21-2.31
Na: 0.8065 0.5442 0.0794  4 O 2.21-2.31
Na: 0.8977 0.1023 0.2500  4 O 2.19
Ti: 0.0000 0.5000 0.5000  6 O 1.97-2.00
Ti: 0.1602 0.6358 0.3370  3 O 1.85-1.90
Ti: 0.3431 0.3439 0.6665  5 O 1.86-2.06
Ti: 0.3439 0.3431 0.1665  5 O 1.86-2.06
Ti: 0.3642 0.8398 0.1630  3 O 1.85-1.90
Ti: 0.5000 0.0000 0.0000  6 O 1.97-2.00
Ti: 0.6358 0.1602 0.8370  3 O 1.85-1.90
Ti: 0.6561 0.6569 0.8335  5 O 1.86-2.06
Ti: 0.6569 0.6561 0.3335  5 O 1.86-2.06
Ti: 0.8398 0.3642 0.6630  3 O 1.85-1.90
O: 0.0400 0.5841 0.6467  2 Ti 1.90-2.00
O: 0.0724 0.1876 0.6818  2 Ti 1.85-1.99
O: 0.1497 0.5640 0.1770  1 Ti 1.86
O: 0.1876 0.0724 0.1819  2 Ti 1.85-1.99
O: 0.2169 0.7121 0.4742  2 Ti 1.86-1.99
O: 0.2367 0.3043 0.5295  2 Ti 1.88-1.97
O: 0.2879 0.7831 0.0258  2 Ti 1.86-1.99
O: 0.3043 0.2367 0.0295  2 Ti 1.88-1.97
O: 0.4159 0.9600 0.8533  2 Ti 1.90-2.00
O: 0.4265 0.4285 0.8183  3 Ti 1.95-2.17
O: 0.4285 0.4265 0.3183  3 Ti 1.95-2.17
O: 0.4360 0.8503 0.3230  1 Ti 1.86
O: 0.5640 0.1497 0.6770  1 Ti 1.86
O: 0.5715 0.5735 0.6817  3 Ti 1.95-2.17
O: 0.5735 0.5715 0.1817  3 Ti 1.95-2.17
O: 0.5841 0.0400 0.1467  2 Ti 1.90-2.00
O: 0.6957 0.7633 0.9705  2 Ti 1.88-1.97
O: 0.7121 0.2169 0.9742  2 Ti 1.86-1.99
O: 0.7633 0.6957 0.4705  2 Ti 1.88-1.97
O: 0.7831 0.2879 0.5258  2 Ti 1.86-1.99
O: 0.8124 0.9276 0.8182  2 Ti 1.85-1.99
O: 0.8503 0.4360 0.8230  1 Ti 1.86
O: 0.9276 0.8124 0.3182  2 Ti 1.85-1.99
O: 0.9600 0.4159 0.3533  2 Ti 1.90-2.00

Calculated values
* total moment: 0.000 μB/f.u.
* formation energy without anion corrections: -2677 meV/atom
* energy relative to the lowest polymorph listed for this composition: 36 meV per atom
* E_tot: -7.64 eV/atom
* space group: C2/c

---

5.
A relaxed structure of Na6Ti2O7. Source: Alexandria, functional GGA-PBE.

abc: 8.4932 8.4932 11.0403
angles: 103.39 103.39 72.94
Last column: nearest neighbours and their distance in Å.
Fractional coordinates of all 45 atoms:
Na: 0.0094 0.3201 0.8710  3 O 2.33-2.51
Na: 0.1131 0.7945 0.6083  3 O 2.26-2.35
Na: 0.1370 0.4426 0.3738  4 O 2.31-2.34
Na: 0.2055 0.8869 0.3917  3 O 2.26-2.35
Na: 0.2451 0.5758 0.8825  4 O 2.29-2.40
Na: 0.3201 0.0094 0.8710  3 O 2.33-2.51
Na: 0.4242 0.7549 0.1175  4 O 2.29-2.40
Na: 0.4426 0.1370 0.3738  4 O 2.31-2.34
Na: 0.4449 0.4449 0.6321  2 O 2.17-2.19
Na: 0.5551 0.5551 0.3679  2 O 2.17-2.19
Na: 0.5574 0.8630 0.6262  4 O 2.31-2.34
Na: 0.5758 0.2451 0.8825  4 O 2.29-2.40
Na: 0.6799 0.9906 0.1290  3 O 2.33-2.51
Na: 0.7549 0.4242 0.1175  4 O 2.29-2.40
Na: 0.7945 0.1131 0.6083  3 O 2.26-2.35
Na: 0.8630 0.5574 0.6262  4 O 2.31-2.34
Na: 0.8869 0.2055 0.3917  3 O 2.26-2.35
Na: 0.9906 0.6799 0.1290  3 O 2.33-2.51
Ti: 0.1150 0.1150 0.1399  4 O 1.80-1.88
Ti: 0.2030 0.2030 0.6370  4 O 1.83-1.86
Ti: 0.3602 0.3602 0.1332  4 O 1.81-1.92
Ti: 0.6398 0.6398 0.8668  4 O 1.81-1.92
Ti: 0.7970 0.7970 0.3630  4 O 1.83-1.86
Ti: 0.8850 0.8850 0.8601  4 O 1.80-1.88
O: 0.0000 0.0000 0.0000  2 Ti 1.86
O: 0.0219 0.7315 0.7633  1 Ti 1.80
O: 0.0292 0.7307 0.3886  1 Ti 1.86
O: 0.2155 0.2155 0.0543  2 Ti 1.88-1.92
O: 0.2632 0.5651 0.0909  1 Ti 1.81
O: 0.2685 0.9781 0.2367  1 Ti 1.80
O: 0.2693 0.9708 0.6114  1 Ti 1.86
O: 0.2818 0.2818 0.8025  1 Ti 1.83
O: 0.2834 0.2834 0.5303  1 Ti 1.83
O: 0.3875 0.3875 0.3046  1 Ti 1.82
O: 0.4349 0.7368 0.9091  1 Ti 1.81
O: 0.5651 0.2632 0.0909  1 Ti 1.81
O: 0.6125 0.6125 0.6954  1 Ti 1.82
O: 0.7166 0.7166 0.4697  1 Ti 1.83
O: 0.7182 0.7182 0.1975  1 Ti 1.83
O: 0.7307 0.0292 0.3886  1 Ti 1.86
O: 0.7315 0.0219 0.7633  1 Ti 1.80
O: 0.7368 0.4349 0.9091  1 Ti 1.81
O: 0.7845 0.7845 0.9457  2 Ti 1.88-1.92
O: 0.9708 0.2693 0.6114  1 Ti 1.86
O: 0.9781 0.2685 0.2367  1 Ti 1.80

Calculated values
* total moment: 0.052 μB/f.u.
* formation energy without anion corrections: -2161 meV/atom
* energy relative to the lowest polymorph listed for this composition: 70 meV per atom
* E_tot: -6.06 eV/atom
* space group: C2/m

---

6.
A relaxed structure of NaTi2O4. Source: Alexandria, functional GGA-PBE.

abc: 5.1405 5.1405 10.1003
angles: 90.00 90.00 146.34
Last column: nearest neighbours and their distance in Å.
Fractional coordinates of all 14 atoms:
Na: 0.1158 0.8842 0.7500  6 O 2.36-2.40
Na: 0.8842 0.1158 0.2500  6 O 2.36-2.40
Ti: 0.3698 0.6302 0.5707  6 O 1.91-2.09
Ti: 0.3698 0.6302 0.9293  6 O 1.91-2.09
Ti: 0.6302 0.3698 0.0707  6 O 1.91-2.09
Ti: 0.6302 0.3698 0.4293  6 O 1.91-2.09
O: 0.0000 0.0000 0.0000  4 Ti 2.09
O: 0.0000 0.0000 0.5000  4 Ti 2.09
O: 0.2655 0.7345 0.1040  3 Ti 2.02-2.04
O: 0.2655 0.7345 0.3960  3 Ti 2.02-2.04
O: 0.4302 0.5698 0.7500  2 Ti 1.91
O: 0.5698 0.4302 0.2500  2 Ti 1.91
O: 0.7345 0.2655 0.6040  3 Ti 2.02-2.04
O: 0.7345 0.2655 0.8960  3 Ti 2.02-2.04

Calculated values
* total moment: 0.000 μB/f.u.
* formation energy without anion corrections: -2745 meV/atom
* energy relative to the lowest polymorph listed for this composition: 0 meV per atom
* E_tot: -8.02 eV/atom
* space group: Cmcm